(1)
{
  "formula": "RbAlTeN2",
  "functional": "PBEsol",
  "state": "relaxed",
  "spacegroup": "No. 123",
  "lattice": [[4.302, 0.000, 0.000], [0.000, 4.302, 0.000], [0.000, 0.000, 5.377]],
  "species": ["Rb", "Al", "Te", "N", "N"],
  "frac_coords": [[0.000, 0.000, 0.000], [0.500, 0.500, 0.500], [0.500, 0.500, 0.000], [0.000, 0.500, 0.500], [0.500, 0.000, 0.500]]
}

(2)
{
  "formula": "Al3RuN",
  "functional": "PBEsol",
  "state": "relaxed",
  "spacegroup": "No. 221",
  "lattice": [[4.653, 0.000, 0.000], [0.000, 4.653, 0.000], [0.000, 0.000, 4.653]],
  "species": ["Al", "Al", "Al", "Ru", "N"],
  "frac_coords": [[0.000, 0.000, 0.500], [0.000, 0.500, 0.000], [0.500, 0.000, 0.000], [0.000, 0.000, 0.000], [0.500, 0.500, 0.500]]
}

(3)
{
  "formula": "AlRuSN2",
  "functional": "PBEsol",
  "state": "relaxed",
  "spacegroup": "No. 123",
  "lattice": [[3.723, 0.000, 0.000], [0.000, 3.723, 0.000], [0.000, 0.000, 5.029]],
  "species": ["Al", "Ru", "S", "N", "N"],
  "frac_coords": [[0.000, 0.000, 0.000], [0.500, 0.500, 0.500], [0.500, 0.500, 0.000], [0.000, 0.500, 0.500], [0.500, 0.000, 0.500]]
}

(4)
{
  "formula": "AlTe2RuN",
  "functional": "PBEsol",
  "state": "relaxed",
  "spacegroup": "No. 123",
  "lattice": [[5.408, 0.000, 0.000], [0.000, 5.408, 0.000], [0.000, 0.000, 3.594]],
  "species": ["Al", "Te", "Te", "Ru", "N"],
  "frac_coords": [[0.000, 0.000, 0.000], [0.000, 0.500, 0.500], [0.500, 0.000, 0.500], [0.500, 0.500, 0.500], [0.500, 0.500, 0.000]]
}

(5)
{
  "formula": "Ti2AlRuN",
  "functional": "PBEsol",
  "state": "relaxed",
  "spacegroup": "No. 123",
  "lattice": [[4.529, 0.000, 0.000], [0.000, 4.529, 0.000], [0.000, 0.000, 4.584]],
  "species": ["Ti", "Ti", "Al", "Ru", "N"],
  "frac_coords": [[0.000, 0.500, 0.000], [0.500, 0.000, 0.000], [0.000, 0.000, 0.500], [0.000, 0.000, 0.000], [0.500, 0.500, 0.500]]
}

(6)
{
  "formula": "AlS2N",
  "functional": "PBEsol",
  "state": "relaxed",
  "spacegroup": "No. 225",
  "lattice": [[0.000, 2.953, 2.953], [2.953, 0.000, 2.953], [2.953, 2.953, 0.000]],
  "species": ["Al", "S", "S", "N"],
  "frac_coords": [[0.000, 0.000, 0.000], [0.250, 0.250, 0.250], [0.750, 0.750, 0.750], [0.500, 0.500, 0.500]]
}

(7)
{
  "formula": "AlS3N",
  "functional": "PBEsol",
  "state": "relaxed",
  "spacegroup": "No. 221",
  "lattice": [[4.065, 0.000, 0.000], [0.000, 4.065, 0.000], [0.000, 0.000, 4.065]],
  "species": ["Al", "S", "S", "S", "N"],
  "frac_coords": [[0.000, 0.000, 0.000], [0.000, 0.500, 0.500], [0.500, 0.000, 0.500], [0.500, 0.500, 0.000], [0.500, 0.500, 0.500]]
}

(8)
{
  "formula": "AlSeSN2",
  "functional": "PBEsol",
  "state": "relaxed",
  "spacegroup": "No. 123",
  "lattice": [[3.586, 0.000, 0.000], [0.000, 3.586, 0.000], [0.000, 0.000, 6.185]],
  "species": ["Al", "Se", "S", "N", "N"],
  "frac_coords": [[0.000, 0.000, 0.000], [0.500, 0.500, 0.500], [0.000, 0.000, 0.500], [0.000, 0.500, 0.000], [0.500, 0.000, 0.000]]
}

(9)
{
  "formula": "AlSbSe2N",
  "functional": "PBEsol",
  "state": "relaxed",
  "spacegroup": "No. 123",
  "lattice": [[5.275, 0.000, 0.000], [0.000, 5.275, 0.000], [0.000, 0.000, 3.898]],
  "species": ["Al", "Sb", "Se", "Se", "N"],
  "frac_coords": [[0.000, 0.000, 0.000], [0.500, 0.500, 0.500], [0.000, 0.500, 0.500], [0.500, 0.000, 0.500], [0.500, 0.500, 0.000]]
}

(10)
{
  "formula": "AlSbSeN2",
  "functional": "PBEsol",
  "state": "relaxed",
  "spacegroup": "No. 123",
  "lattice": [[3.945, 0.000, 0.000], [0.000, 3.945, 0.000], [0.000, 0.000, 5.554]],
  "species": ["Al", "Sb", "Se", "N", "N"],
  "frac_coords": [[0.000, 0.000, 0.000], [0.500, 0.500, 0.500], [0.500, 0.500, 0.000], [0.000, 0.500, 0.500], [0.500, 0.000, 0.500]]
}

(11)
{
  "formula": "AlSbSeN2",
  "functional": "PBEsol",
  "state": "relaxed",
  "spacegroup": "No. 123",
  "lattice": [[3.847, 0.000, 0.000], [0.000, 3.847, 0.000], [0.000, 0.000, 5.091]],
  "species": ["Al", "Sb", "Se", "N", "N"],
  "frac_coords": [[0.000, 0.000, 0.000], [0.500, 0.500, 0.500], [0.000, 0.000, 0.500], [0.000, 0.500, 0.000], [0.500, 0.000, 0.000]]
}

(12)
{
  "formula": "ScAl3N",
  "functional": "PBEsol",
  "state": "relaxed",
  "spacegroup": "No. 221",
  "lattice": [[5.314, 0.000, 0.000], [0.000, 5.314, 0.000], [0.000, 0.000, 5.314]],
  "species": ["Sc", "Al", "Al", "Al", "N"],
  "frac_coords": [[0.000, 0.000, 0.000], [0.000, 0.000, 0.500], [0.000, 0.500, 0.000], [0.500, 0.000, 0.000], [0.500, 0.500, 0.500]]
}

(13)
{
  "formula": "ScAl3N",
  "functional": "PBEsol",
  "state": "relaxed",
  "spacegroup": "No. 221",
  "lattice": [[4.187, 0.000, 0.000], [0.000, 4.187, 0.000], [0.000, 0.000, 4.187]],
  "species": ["Sc", "Al", "Al", "Al", "N"],
  "frac_coords": [[0.000, 0.000, 0.000], [0.000, 0.500, 0.500], [0.500, 0.000, 0.500], [0.500, 0.500, 0.000], [0.500, 0.500, 0.500]]
}

(14)
{
  "formula": "ScAlTe2N",
  "functional": "PBEsol",
  "state": "relaxed",
  "spacegroup": "No. 123",
  "lattice": [[5.495, 0.000, 0.000], [0.000, 5.495, 0.000], [0.000, 0.000, 3.509]],
  "species": ["Sc", "Al", "Te", "Te", "N"],
  "frac_coords": [[0.000, 0.000, 0.000], [0.500, 0.500, 0.500], [0.000, 0.500, 0.500], [0.500, 0.000, 0.500], [0.500, 0.500, 0.000]]
}

(15)
{
  "formula": "AlSeN2",
  "functional": "PBEsol",
  "state": "relaxed",
  "spacegroup": "No. 122",
  "lattice": [[-2.314, 2.314, 4.805], [2.314, -2.314, 4.805], [2.314, 2.314, -4.805]],
  "species": ["Al", "Al", "Se", "Se", "N", "N", "N", "N"],
  "frac_coords": [[0.000, 0.000, 0.000], [0.750, 0.250, 0.500], [0.250, 0.750, 0.500], [0.500, 0.500, 0.000], [0.071, 0.625, 0.946], [0.375, 0.321, 0.446], [0.679, 0.125, 0.054], [0.875, 0.929, 0.554]]
}

(16)
{
  "formula": "AlTcSeN2",
  "functional": "PBEsol",
  "state": "relaxed",
  "spacegroup": "No. 123",
  "lattice": [[3.784, 0.000, 0.000], [0.000, 3.784, 0.000], [0.000, 0.000, 5.232]],
  "species": ["Al", "Tc", "Se", "N", "N"],
  "frac_coords": [[0.000, 0.000, 0.000], [0.500, 0.500, 0.500], [0.500, 0.500, 0.000], [0.000, 0.500, 0.500], [0.500, 0.000, 0.500]]
}

(17)
{
  "formula": "AlTeSe2N",
  "functional": "PBEsol",
  "state": "relaxed",
  "spacegroup": "No. 123",
  "lattice": [[5.089, 0.000, 0.000], [0.000, 5.089, 0.000], [0.000, 0.000, 3.577]],
  "species": ["Al", "Te", "Se", "Se", "N"],
  "frac_coords": [[0.000, 0.000, 0.000], [0.500, 0.500, 0.500], [0.000, 0.500, 0.000], [0.500, 0.000, 0.000], [0.000, 0.000, 0.500]]
}

(18)
{
  "formula": "AlZnSeN2",
  "functional": "PBEsol",
  "state": "relaxed",
  "spacegroup": "No. 123",
  "lattice": [[3.653, 0.000, 0.000], [0.000, 3.653, 0.000], [0.000, 0.000, 5.567]],
  "species": ["Al", "Zn", "Se", "N", "N"],
  "frac_coords": [[0.000, 0.000, 0.000], [0.500, 0.500, 0.500], [0.000, 0.000, 0.500], [0.000, 0.500, 0.000], [0.500, 0.000, 0.000]]
}

(19)
{
  "formula": "ZrAlSe2N",
  "functional": "PBEsol",
  "state": "relaxed",
  "spacegroup": "No. 123",
  "lattice": [[5.271, 0.000, 0.000], [0.000, 5.271, 0.000], [0.000, 0.000, 3.936]],
  "species": ["Zr", "Al", "Se", "Se", "N"],
  "frac_coords": [[0.000, 0.000, 0.000], [0.500, 0.500, 0.500], [0.000, 0.500, 0.000], [0.500, 0.000, 0.000], [0.000, 0.000, 0.500]]
}

(20)
{
  "formula": "ZrAlSe2N",
  "functional": "PBEsol",
  "state": "relaxed",
  "spacegroup": "No. 123",
  "lattice": [[4.932, 0.000, 0.000], [0.000, 4.932, 0.000], [0.000, 0.000, 3.528]],
  "species": ["Zr", "Al", "Se", "Se", "N"],
  "frac_coords": [[0.000, 0.000, 0.000], [0.500, 0.500, 0.500], [0.000, 0.500, 0.500], [0.500, 0.000, 0.500], [0.500, 0.500, 0.000]]
}

Number 1: uncorrected formation energy 0.845 eV per atom. Number 2: uncorrected formation energy 0.959 eV per atom. Number 3: uncorrected formation energy 0.477 eV per atom. Number 4: uncorrected formation energy 0.256 eV per atom. Number 5: uncorrected formation energy 1.145 eV per atom. Number 6: uncorrected formation energy 1.006 eV per atom. Number 7: uncorrected formation energy 0.673 eV per atom. Number 8: uncorrected formation energy 0.804 eV per atom. Number 9: uncorrected formation energy 0.693 eV per atom. Number 10: uncorrected formation energy 0.985 eV per atom. Number 11: uncorrected formation energy 0.585 eV per atom. Number 12: uncorrected formation energy 2.037 eV per atom. Number 13: uncorrected formation energy -0.075 eV per atom. Number 14: uncorrected formation energy -0.177 eV per atom. Number 15: uncorrected formation energy 0.217 eV per atom. Number 16: uncorrected formation energy 0.304 eV per atom. Number 17: uncorrected formation energy 0.186 eV per atom. Number 18: uncorrected formation energy 0.557 eV per atom. Number 19: uncorrected formation energy -0.112 eV per atom. Number 20: uncorrected formation energy -0.280 eV per atom.